# 1
The following is a PBE-GGA calculation of a relaxed structure of Ho7InAg4, from the Alexandria database.

Calculated formation energy = -0.08 eV per atom
ρ = 8.82 g/cm3
Total energy = -47.137 eV/f.u.

a = 5.675 Å, b = 8.782 Å, c = 7.748 Å
α = 65.45°, β = 68.52°, γ = 71.15°
Positions (direct):
Ho 0.923 0.402 0.751
Ho 0.285 0.672 0.759
Ho 0.715 0.328 0.241
Ho 0.500 0.000 0.000
Ho 0.823 0.880 0.474
Ho 0.177 0.120 0.526
Ho 0.077 0.598 0.249
Ag 0.306 0.329 0.059
Ag 0.520 0.318 0.641
Ag 0.480 0.682 0.359
Ag 0.694 0.671 0.941
In 0.000 0.000 0.000


# 2
The following is a PBE-GGA calculation of a relaxed structure of BeSb2, from the Alexandria database.

Distance to the lowest polymorph of the same formula = 0.076 eV per atom
Formation energy (no corrections) = 0.308 eV/atom
ρ = 5.97 g/cm3
Total energy = -11.046 eV/f.u.

a = 6.472 Å, b = 6.472 Å, c = 6.439 Å
α = 73.52°, β = 73.52°, γ = 33.07°
Positions (direct):
Be 0.538 0.538 0.329
Be 0.462 0.462 0.671
Sb 0.866 0.866 0.934
Sb 0.134 0.134 0.066
Sb 0.865 0.865 0.462
Sb 0.135 0.135 0.538


# 3
The following is a PBE-GGA calculation of a relaxed structure of CsYVCl6, from the Alexandria database.

Formation energy (no corrections) = -1.872 eV/atom
ρ = 2.62 g/cm3
Total energy = -44.360 eV/f.u.

a = 6.687 Å, b = 6.687 Å, c = 7.936 Å
α = 90.00°, β = 90.00°, γ = 60.00°
Positions (direct):
Y 0.333 0.333 0.500
V 0.667 0.667 0.500
Cl 0.982 0.640 0.686
Cl 0.378 0.982 0.686
Cl 0.640 0.378 0.686
Cl 0.640 0.982 0.314
Cl 0.982 0.378 0.314
Cl 0.378 0.640 0.314
Cs 0.000 0.000 0.000


# 4
The following is a PBE-GGA calculation of a relaxed structure of PaGa2Os, from the Alexandria database.

Calculated formation energy = -0.20 eV per atom
Distance to the lowest polymorph of the same formula = 0.201 eV per atom
ρ = 13.16 g/cm3
Total energy = -27.582 eV/f.u.

a = 4.642 Å, b = 4.642 Å, c = 4.643 Å
α = 60.00°, β = 60.00°, γ = 60.00°
Positions (direct):
Ga 0.250 0.250 0.250
Ga 0.750 0.750 0.750
Pa 0.500 0.500 0.500
Os 0.000 0.000 0.000


Number 1: volume 320.1 Å³ per cell. Number 2: volume 140.6 Å³ per cell. Number 3: volume 307.3 Å³ per cell. Number 4: volume 70.7 Å³ per cell.